<i>
Below is crystalline CaLa2ZrH at its relaxed geometry, with properties calculated at the PBE-GGA level.

Output
* total magnetization: 0.001 μB/f.u.

Lattice parameters (Å, degrees): 5.274 5.274 4.700 90.00 90.00 90.00
Space group P4/mmm (No. 123)
One atom of each set of equivalent atoms:
Ca1 0.000 0.000 0.000 [1 per cell]
La1 0.000 0.500 0.500 [2 per cell]
Zr1 0.500 0.500 0.000 [1 per cell]
H1 0.500 0.500 0.500 [1 per cell]

<ii>
Below is crystalline CaLa2ZrH at its relaxed geometry, with properties calculated at the PBE-GGA level.

Output
* total magnetization: 0.000 μB/f.u.

Lattice parameters (Å, degrees): 5.164 5.164 4.877 90.00 90.00 90.00
Space group P4/mmm (No. 123)
One atom of each set of equivalent atoms:
Ca1 0.000 0.000 0.000 [1 per cell]
La1 0.000 0.500 0.500 [2 per cell]
Zr1 0.500 0.500 0.000 [1 per cell]
H1 0.000 0.000 0.500 [1 per cell]

Pick the least stable structure from those above. Pick: <i>